A plane-wave DFT calculation with GGA-PBE was carried out for Tb2Dy3In3 after structural relaxation.

Summary:
uncorrected energy: -34.1 eV for the cell shown
ΔE_f: -352 meV/atom

Unit cell a=4.914 b=4.916 c=9.160 alpha=90.00 beta=90.00 gamma=90.00
Atoms (fractional coordinates):
1 Tb 0.000 0.000 0.238
2 Tb 0.000 0.000 0.762
3 Dy 0.500 0.000 0.500
4 Dy 0.500 0.500 0.236
5 Dy 0.500 0.500 0.764
6 In 0.000 0.500 0.000
7 In 0.000 0.500 0.500
8 In 0.500 0.000 0.000

***

A plane-wave DFT calculation with GGA-PBE was carried out for Tb2DyIn2 after structural relaxation.

Summary:
uncorrected energy: -42.3 eV for the cell shown
ΔE_f: -358 meV/atom

Unit cell a=4.914 b=6.891 c=8.530 alpha=90.00 beta=90.00 gamma=90.00
Atoms (fractional coordinates):
1 Tb 0.000 0.000 0.194
2 Tb 0.000 0.000 0.806
3 Tb 0.500 0.500 0.306
4 Tb 0.500 0.500 0.694
5 Dy 0.000 0.500 0.000
6 Dy 0.500 0.000 0.500
7 In 0.000 0.289 0.500
8 In 0.000 0.711 0.500
9 In 0.500 0.211 0.000
10 In 0.500 0.789 0.000

***

A plane-wave DFT calculation with GGA-PBE was carried out for Tb12Dy5In2 after structural relaxation.

Summary:
uncorrected energy: -84.2 eV for the cell shown
ΔE_f: -6 meV/atom

Unit cell a=8.966 b=8.966 c=8.372 alpha=91.88 beta=91.88 gamma=62.25
Atoms (fractional coordinates):
1 Tb 0.054 0.054 0.325
2 Tb 0.070 0.680 0.337
3 Tb 0.167 0.537 0.764
4 Tb 0.320 0.930 0.663
5 Tb 0.418 0.418 0.116
6 Tb 0.463 0.833 0.236
7 Tb 0.537 0.167 0.764
8 Tb 0.582 0.582 0.884
9 Tb 0.680 0.070 0.337
10 Tb 0.833 0.463 0.236
11 Tb 0.930 0.320 0.663
12 Tb 0.946 0.946 0.675
13 Dy 0.190 0.190 0.009
14 Dy 0.267 0.267 0.420
15 Dy 0.500 0.500 0.500
16 Dy 0.733 0.733 0.580
17 Dy 0.810 0.810 0.991
18 In 0.179 0.821 0.000
19 In 0.821 0.179 0.000

***

A plane-wave DFT calculation with GGA-PBE was carried out for Tb4Dy5In after structural relaxation.

Summary:
uncorrected energy: -44.1 eV for the cell shown
ΔE_f: 19 meV/atom

Unit cell a=4.127 b=4.127 c=18.070 alpha=90.00 beta=90.00 gamma=90.00
Atoms (fractional coordinates):
1 Tb 0.000 0.000 0.101
2 Tb 0.000 0.000 0.303
3 Tb 0.000 0.000 0.697
4 Tb 0.000 0.000 0.899
5 Dy 0.500 0.500 0.000
6 Dy 0.500 0.500 0.205
7 Dy 0.500 0.500 0.410
8 Dy 0.500 0.500 0.590
9 Dy 0.500 0.500 0.795
10 In 0.000 0.000 0.500

***

A plane-wave DFT calculation with GGA-PBE was carried out for Tb6Dy8In after structural relaxation.

Summary:
uncorrected energy: -67.0 eV for the cell shown
ΔE_f: 21 meV/atom

Unit cell a=8.497 b=8.497 c=8.497 alpha=63.78 beta=63.78 gamma=63.78
Atoms (fractional coordinates):
1 Tb 0.049 0.603 0.733
2 Tb 0.267 0.951 0.397
3 Tb 0.397 0.267 0.951
4 Tb 0.603 0.733 0.049
5 Tb 0.733 0.049 0.603
6 Tb 0.951 0.397 0.267
7 Dy 0.076 0.076 0.076
8 Dy 0.216 0.609 0.249
9 Dy 0.249 0.216 0.609
10 Dy 0.391 0.751 0.784
11 Dy 0.609 0.249 0.216
12 Dy 0.751 0.784 0.391
13 Dy 0.784 0.391 0.751
14 Dy 0.924 0.924 0.924
15 In 0.500 0.500 0.500

***

A plane-wave DFT calculation with GGA-PBE was carried out for Tb3Dy8In after structural relaxation.

Summary:
uncorrected energy: -54.2 eV for the cell shown
ΔE_f: -67 meV/atom

Unit cell a=8.754 b=3.575 c=12.149 alpha=90.00 beta=103.74 gamma=90.00
Atoms (fractional coordinates):
1 Tb 0.000 0.000 0.000
2 Tb 0.028 0.500 0.751
3 Tb 0.355 0.500 0.633
4 Dy 0.018 0.000 0.494
5 Dy 0.027 0.500 0.248
6 Dy 0.341 0.500 0.133
7 Dy 0.364 0.000 0.383
8 Dy 0.374 0.000 0.892
9 Dy 0.688 0.000 0.258
10 Dy 0.690 0.000 0.776
11 Dy 0.692 0.500 0.522
12 In 0.687 0.500 0.025

***

> Which of these has the lowest ΔE_f?

Tb2DyIn2